Material: Rb4CeHo3O8
Method: DFT, PBE
State: optimized geometry

## Properties
Calculated volume (A^3/atom): 17.8
Final energy (eV/cell): -105.77
E_form (uncorrected) (eV per atom): -2.660
N(E_F) (states/eV/atom): 0.179

Cell: 7.737 7.737 7.737 Å, 54.45 54.45 54.45°
Fractional positions:
1 Rb 0.000 0.000 0.000
2 Rb 0.000 0.500 0.500
3 Rb 0.500 0.000 0.500
4 Rb 0.500 0.500 0.000
5 Ce 0.500 0.500 0.500
6 Ho 0.000 0.000 0.500
7 Ho 0.000 0.500 0.000
8 Ho 0.500 0.000 0.000
9 O 0.216 0.729 0.729
10 O 0.225 0.225 0.225
11 O 0.271 0.271 0.784
12 O 0.271 0.784 0.271
13 O 0.729 0.216 0.729
14 O 0.729 0.729 0.216
15 O 0.775 0.775 0.775
16 O 0.784 0.271 0.271